# 1
A plane-wave DFT calculation with GGA-PBE was carried out for an optimized crystal structure of Mn2ReGe2.

a b c (Å): 6.8167 6.8167 2.8162
angles (deg): 90.00 90.00 90.00
Fractional coordinates of all 10 atoms:
Re: 0.0000 0.0000 0.0000
Re: 0.5000 0.5000 0.0000
Ge: 0.3552 0.8552 0.0000
Ge: 0.8552 0.6448 0.0000
Ge: 0.6448 0.1448 0.0000
Ge: 0.1448 0.3552 0.0000
Mn: 0.1529 0.6529 0.5000
Mn: 0.6529 0.8471 0.5000
Mn: 0.8471 0.3471 0.5000
Mn: 0.3471 0.1529 0.5000

Output
space-group type = P4/mbm, No. 127
final energy = -7.778 eV per atom
calculated volume = 13.1 A^3/atom
formation energy = 0.226 eV per atom
density = 11.201 g/cm3

***

# 2
A plane-wave DFT calculation with GGA-PBE was carried out for an optimized crystal structure of NiPd3Pt7.

a b c (Å): 4.8613 6.7963 6.7963
angles (deg): 83.64 114.77 114.77
Fractional coordinates of all 11 atoms:
Ni: 0.5000 0.5000 0.5000
Pd: 0.0000 0.7943 0.2057
Pd: 0.5000 0.0000 0.0000
Pd: 0.0000 0.2057 0.7943
Pt: 0.4227 0.2309 0.2309
Pt: 0.3273 0.0853 0.5821
Pt: 0.6727 0.4179 0.9147
Pt: 0.3273 0.5821 0.0853
Pt: 0.0000 0.5000 0.5000
Pt: 0.6727 0.9147 0.4179
Pt: 0.5773 0.7691 0.7691

Output
space-group type = C2/m, No. 12
final energy = -5.560 eV per atom
calculated volume = 16.8 A^3/atom
formation energy = 0.226 eV per atom
density = 15.687 g/cm3

***

# 3
A plane-wave DFT calculation with GGA-PBE was carried out for an optimized crystal structure of CdGaAs2I.

a b c (Å): 5.1609 6.4364 5.1609
angles (deg): 90.00 90.00 90.00
Fractional coordinates of all 5 atoms:
I: 0.0000 0.5000 0.0000
As: 0.0000 0.0000 0.5000
As: 0.5000 0.0000 0.0000
Ga: 0.5000 0.5000 0.5000
Cd: 0.0000 0.0000 0.0000

Output
space-group type = P4/mmm, No. 123
formation energy (no corrections) = 3.00 eV/f.u.
final energy = -2.359 eV per atom
calculated volume = 34.3 A^3/atom
density = 4.445 g/cm3

***

# 4
A plane-wave DFT calculation with GGA-PBE was carried out for an optimized crystal structure of PmNd6Sm12.

a b c (Å): 8.7147 8.7147 8.7147
angles (deg): 89.22 89.22 89.22
Fractional coordinates of all 19 atoms:
Pm: 0.0000 0.0000 0.0000
Nd: 0.7384 0.9062 0.3051
Nd: 0.6949 0.2616 0.0938
Nd: 0.0938 0.6949 0.2616
Nd: 0.2616 0.0938 0.6949
Nd: 0.3051 0.7384 0.9062
Nd: 0.9062 0.3051 0.7384
Sm: 0.7775 0.5364 0.4363
Sm: 0.4363 0.7775 0.5364
Sm: 0.5364 0.4363 0.7775
Sm: 0.2225 0.4636 0.5637
Sm: 0.5637 0.2225 0.4636
Sm: 0.4636 0.5637 0.2225
Sm: 0.0166 0.1971 0.3588
Sm: 0.8029 0.6412 0.9834
Sm: 0.6412 0.9834 0.8029
Sm: 0.9834 0.8029 0.6412
Sm: 0.1971 0.3588 0.0166
Sm: 0.3588 0.0166 0.1971

Output
space-group type = R-3, No. 148
final energy = -4.600 eV per atom
calculated volume = 34.8 A^3/atom
formation energy = 0.136 eV per atom
offset from the most stable computed form = 123 meV per atom
density = 7.064 g/cm3

***

# 5
A plane-wave DFT calculation with GGA-PBE was carried out for an optimized crystal structure of K3Hg3Bi.

a b c (Å): 5.1099 6.8843 17.2200
angles (deg): 87.97 81.47 68.21
Fractional coordinates of all 14 atoms:
K: 0.5843 0.2410 0.5903
K: 0.4157 0.7590 0.4097
K: 0.2307 0.3166 0.2221
K: 0.7693 0.6834 0.7779
K: 0.3975 0.2813 0.9237
K: 0.6025 0.7187 0.0763
Hg: 0.8890 0.6591 0.5629
Hg: 0.1110 0.3409 0.4371
Hg: 0.1096 0.8531 0.9276
Hg: 0.8904 0.1469 0.0724
Hg: 0.9538 0.8739 0.2184
Hg: 0.0462 0.1261 0.7816
Bi: 0.7319 0.1726 0.3636
Bi: 0.2681 0.8274 0.6364

Output
space-group type = C2/m, No. 12
final energy = -1.445 eV per atom
calculated volume = 39.7 A^3/atom
formation energy = -0.291 eV per atom
density = 5.542 g/cm3

***

Number 1: Fermi-level density of states 2.046 states/eV per atom. Number 2: Fermi-level density of states 1.490 states/eV per atom. Number 3: Fermi-level density of states 0.702 states/eV per atom. Number 4: Fermi-level density of states 1.575 states/eV per atom. Number 5: Fermi-level density of states 0.270 states/eV per atom.